1.
The following is a PBE calculation of a relaxed Y3Pu crystal, from Alexandria.

Structure (CIF):
```
data_Y3Pu
_chemical_formula_sum 'Y6 Pu2'
_cell_length_a 4.977
_cell_length_b 4.977
_cell_length_c 10.020
_cell_angle_alpha 90.00
_cell_angle_beta 90.00
_cell_angle_gamma 90.00
_space_group_name_H-M_alt 'I 4/m m m'
_space_group_IT_number 139
_space_group_name_Hall '-I 4 2'
loop_
_atom_site_label
_atom_site_type_symbol
_atom_site_fract_x
_atom_site_fract_y
_atom_site_fract_z
_atom_site_occupancy
Y1 Y 0.000 0.000 0.000 1
Y2 Y 0.000 0.500 0.250 1
Pu1 Pu 0.000 0.000 0.500 1
```

Summary:
**Total magnetization**: 6.98 μB/f.u.
**Formation enthalpy at 0 K**: 139 meV/atom


2.
The following is a PBE calculation of a relaxed Y3Pu crystal, from Alexandria.

Structure (CIF):
```
data_Y3Pu
_chemical_formula_sum 'Y6 Pu2'
_cell_length_a 7.1545
_cell_length_b 7.1545
_cell_length_c 5.6958
_cell_angle_alpha 90.00
_cell_angle_beta 90.00
_cell_angle_gamma 120.00
_space_group_name_H-M_alt 'P 63/m m c'
_space_group_IT_number 194
_space_group_name_Hall '-P 6c 2c'
loop_
_atom_site_label
_atom_site_type_symbol
_atom_site_fract_x
_atom_site_fract_y
_atom_site_fract_z
_atom_site_occupancy
Y1 Y 0.1681 0.3361 0.2500 1
Pu1 Pu 0.3333 0.6667 0.7500 1
```

Summary:
**Total magnetization**: 6.84 μB/f.u.
**Formation enthalpy at 0 K**: 141 meV/atom


3.
The following is a PBE calculation of a relaxed Y4Pu crystal, from Alexandria.

Structure (CIF):
```
data_Y4Pu
_chemical_formula_sum 'Y4 Pu1'
_cell_length_a 5.546
_cell_length_b 5.546
_cell_length_c 5.546
_cell_angle_alpha 90.00
_cell_angle_beta 90.00
_cell_angle_gamma 90.00
_space_group_name_H-M_alt 'P m -3 m'
_space_group_IT_number 221
_space_group_name_Hall '-P 4 2 3'
loop_
_atom_site_label
_atom_site_type_symbol
_atom_site_fract_x
_atom_site_fract_y
_atom_site_fract_z
_atom_site_occupancy
Y1 Y 0.000 0.000 0.000 1
Y2 Y 0.000 0.500 0.500 1
Pu1 Pu 0.500 0.500 0.500 1
```

Summary:
**Total magnetization**: 6.71 μB/f.u.
**Formation enthalpy at 0 K**: 515 meV/atom


4.
The following is a PBE calculation of a relaxed Y3Pu crystal, from Alexandria.

Structure (CIF):
```
data_Y3Pu
_chemical_formula_sum 'Y6 Pu2'
_cell_length_a 3.534
_cell_length_b 11.416
_cell_length_c 6.196
_cell_angle_alpha 90.00
_cell_angle_beta 90.00
_cell_angle_gamma 90.00
_space_group_name_H-M_alt 'I m m 2'
_space_group_IT_number 44
loop_
_space_group_symop_operation_xyz
'x,y,z'
'-x,-y,z'
'-x,y,z'
'x,-y,z'
'x+1/2,y+1/2,z+1/2'
'-x+1/2,-y+1/2,z+1/2'
'-x+1/2,y+1/2,z+1/2'
'x+1/2,-y+1/2,z+1/2'
loop_
_atom_site_label
_atom_site_type_symbol
_atom_site_fract_x
_atom_site_fract_y
_atom_site_fract_z
_atom_site_occupancy
Y1 Y 0.000 0.000 0.000 1
Y2 Y 0.000 0.246 0.662 1
Pu1 Pu 0.000 0.500 0.991 1
```

Summary:
**Total magnetization**: 6.93 μB/f.u.
**Formation enthalpy at 0 K**: 91 meV/atom


5.
The following is a PBE calculation of a relaxed Y5Pu crystal, from Alexandria.

Structure (CIF):
```
data_Y5Pu
_chemical_formula_sum 'Y10 Pu2'
_cell_length_a 5.045
_cell_length_b 14.898
_cell_length_c 5.031
_cell_angle_alpha 90.00
_cell_angle_beta 90.00
_cell_angle_gamma 90.00
_space_group_name_H-M_alt 'C m m m'
_space_group_IT_number 65
_space_group_name_Hall '-C 2 2'
loop_
_atom_site_label
_atom_site_type_symbol
_atom_site_fract_x
_atom_site_fract_y
_atom_site_fract_z
_atom_site_occupancy
Y1 Y 0.000 0.000 0.000 1
Y2 Y 0.000 0.165 0.500 1
Y3 Y 0.000 0.336 0.000 1
Pu1 Pu 0.000 0.500 0.500 1
```

Summary:
**Total magnetization**: 6.57 μB/f.u.
**Formation enthalpy at 0 K**: 87 meV/atom


6.
The following is a PBE calculation of a relaxed Y3Pu crystal, from Alexandria.

Structure (CIF):
```
data_Y3Pu
_chemical_formula_sum 'Y12 Pu4'
_cell_length_a 7.947
_cell_length_b 7.947
_cell_length_c 7.947
_cell_angle_alpha 90.00
_cell_angle_beta 90.00
_cell_angle_gamma 90.00
_space_group_name_H-M_alt 'F m -3 m'
_space_group_IT_number 225
_space_group_name_Hall '-F 4 2 3'
loop_
_atom_site_label
_atom_site_type_symbol
_atom_site_fract_x
_atom_site_fract_y
_atom_site_fract_z
_atom_site_occupancy
Y1 Y 0.000 0.000 0.000 1
Y2 Y 0.250 0.250 0.250 1
Pu1 Pu 0.000 0.000 0.500 1
```

Summary:
**Total magnetization**: 7.01 μB/f.u.
**Formation enthalpy at 0 K**: 202 meV/atom


7.
The following is a PBE calculation of a relaxed Y3Pu crystal, from Alexandria.

Structure (CIF):
```
data_Y3Pu
_chemical_formula_sum 'Y3 Pu1'
_cell_length_a 3.520
_cell_length_b 5.716
_cell_length_c 6.209
_cell_angle_alpha 90.00
_cell_angle_beta 90.00
_cell_angle_gamma 90.00
_space_group_name_H-M_alt 'P m m 2'
_space_group_IT_number 25
loop_
_space_group_symop_operation_xyz
'x,y,z'
'-x,-y,z'
'-x,y,z'
'x,-y,z'
loop_
_atom_site_label
_atom_site_type_symbol
_atom_site_fract_x
_atom_site_fract_y
_atom_site_fract_z
_atom_site_occupancy
Y1 Y 0.000 0.000 0.000 1
Y2 Y 0.000 0.500 0.329 1
Y3 Y 0.500 0.000 0.507 1
Pu1 Pu 0.500 0.500 0.829 1
```

Summary:
**Total magnetization**: 6.85 μB/f.u.
**Formation enthalpy at 0 K**: 109 meV/atom


8.
The following is a PBE calculation of a relaxed YPuZn2 crystal, from Alexandria.

Structure (CIF):
```
data_YPuZn2
_chemical_formula_sum 'Y1 Pu1 Zn2'
_cell_length_a 5.078
_cell_length_b 5.078
_cell_length_c 3.546
_cell_angle_alpha 90.00
_cell_angle_beta 90.00
_cell_angle_gamma 90.00
_space_group_name_H-M_alt 'P 4/m m m'
_space_group_IT_number 123
_space_group_name_Hall '-P 4 2'
loop_
_atom_site_label
_atom_site_type_symbol
_atom_site_fract_x
_atom_site_fract_y
_atom_site_fract_z
_atom_site_occupancy
Y1 Y 0.000 0.000 0.000 1
Pu1 Pu 0.500 0.500 0.000 1
Zn1 Zn 0.000 0.500 0.500 1
```

Summary:
**Total magnetization**: 6.10 μB/f.u.
**Formation enthalpy at 0 K**: -194 meV/atom


> The lowest total magnetization belongs to which entry?

YPuZn2


> formation enthalpy at 0 K of number 7 (Y3Pu)?

109 meV/atom